Below is Mn2AlSiO6 after structural relaxation, with properties calculated at the GGA+U level.

Geometry as CIF:
```
data_Mn2AlSiO6
_chemical_formula_sum 'Mn2 Al1 Si1 O6'
_space_group_name_H-M_alt 'P 1'
_space_group_IT_number 1
_cell_length_a 4.895
_cell_length_b 4.897
_cell_length_c 5.213
_cell_angle_alpha 90.11
_cell_angle_beta 117.69
_cell_angle_gamma 119.80
loop_
_space_group_symop_operation_xyz
'x,y,z'
loop_
_atom_site_label
_atom_site_fract_x
_atom_site_fract_y
_atom_site_fract_z
_atom_site_occupancy
Mn1 0.000 0.000 0.000 1
Mn2 0.025 0.514 0.536 1
Al1 0.428 0.715 0.140 1
Si1 0.410 0.203 0.614 1
O1 0.256 0.427 0.346 1
O2 0.267 0.330 0.821 1
O3 0.492 0.940 0.822 1
O4 0.513 0.090 0.345 1
O5 0.882 0.552 0.819 1
O6 0.919 0.829 0.347 1
```

Values from the calculation:
* total DFT energy (no corrections): -7.23 eV/atom
* crystal system: triclinic

***

Below is Mn3Al2Si3O12 after structural relaxation, with properties calculated at the GGA+U level.

Geometry as CIF:
```
data_Mn3Al2Si3O12
_chemical_formula_sum 'Mn24 Al16 Si24 O96'
_space_group_name_H-M_alt 'I a -3 d'
_space_group_IT_number 230
_space_group_name_Hall '-I 4bd 2c 3'
_cell_length_a 11.746
_cell_length_b 11.746
_cell_length_c 11.746
_cell_angle_alpha 90.00
_cell_angle_beta 90.00
_cell_angle_gamma 90.00
loop_
_atom_site_label
_atom_site_fract_x
_atom_site_fract_y
_atom_site_fract_z
_atom_site_occupancy
Mn1 0.000 0.250 0.125 1
Al1 0.000 0.000 0.000 1
Si1 0.000 0.250 0.375 1
O1 0.035 0.047 0.652 1
```

Values from the calculation:
* total DFT energy (no corrections): -7.82 eV/atom
* crystal system: cubic

***

Below is Sr2Mn2AlO6 after structural relaxation, with properties calculated at the GGA+U level.

Geometry as CIF:
```
data_Sr2Mn2AlO6
_chemical_formula_sum 'Sr6 Mn6 Al3 O18'
_space_group_name_H-M_alt 'R -3 m'
_space_group_IT_number 166
_space_group_name_Hall '-R 3 2"'
_cell_length_a 5.8631
_cell_length_b 5.8631
_cell_length_c 15.9253
_cell_angle_alpha 90.00
_cell_angle_beta 90.00
_cell_angle_gamma 120.00
loop_
_atom_site_label
_atom_site_fract_x
_atom_site_fract_y
_atom_site_fract_z
_atom_site_occupancy
Sr1 0.0000 0.0000 0.2035 1
Mn1 0.0000 0.0000 0.4058 1
Al1 0.0000 0.0000 0.0000 1
O1 0.0382 0.5191 0.7448 1
```

Values from the calculation:
* total DFT energy (no corrections): -6.78 eV/atom
* crystal system: trigonal

***

Below is Sr3Mn2AlO9 after structural relaxation, with properties calculated at the GGA+U level.

Geometry as CIF:
```
data_Sr3Mn2AlO9
_chemical_formula_sum 'Sr3 Mn2 Al1 O9'
_space_group_name_H-M_alt 'P -3 m 1'
_space_group_IT_number 164
_space_group_name_Hall '-P 3 2"'
_cell_length_a 5.4488
_cell_length_b 5.4488
_cell_length_c 6.6827
_cell_angle_alpha 90.00
_cell_angle_beta 90.00
_cell_angle_gamma 120.00
loop_
_atom_site_label
_atom_site_fract_x
_atom_site_fract_y
_atom_site_fract_z
_atom_site_occupancy
Sr1 0.0000 0.0000 0.0000 1
Sr2 0.3333 0.6667 0.6687 1
Mn1 0.3333 0.6667 0.1731 1
Al1 0.0000 0.0000 0.5000 1
O1 0.0000 0.5000 0.0000 1
O2 0.1663 0.3326 0.3337 1
```

Values from the calculation:
* total DFT energy (no corrections): -6.80 eV/atom
* crystal system: trigonal

***

Below is MnAlTcO2 after structural relaxation, with properties calculated at the GGA+U level.

Geometry as CIF:
```
data_MnAlTcO2
_chemical_formula_sum 'Mn1 Al1 Tc1 O2'
_space_group_name_H-M_alt 'P 4/m m m'
_space_group_IT_number 123
_space_group_name_Hall '-P 4 2'
_cell_length_a 3.542
_cell_length_b 3.542
_cell_length_c 5.294
_cell_angle_alpha 90.00
_cell_angle_beta 90.00
_cell_angle_gamma 90.00
loop_
_atom_site_label
_atom_site_fract_x
_atom_site_fract_y
_atom_site_fract_z
_atom_site_occupancy
Mn1 0.000 0.000 0.000 1
Al1 0.500 0.500 0.500 1
Tc1 0.000 0.000 0.500 1
O1 0.000 0.500 0.000 1
```

Values from the calculation:
* total DFT energy (no corrections): -5.97 eV/atom
* crystal system: tetragonal

***

Below is MnAlTcO6 after structural relaxation, with properties calculated at the GGA+U level.

Geometry as CIF:
```
data_MnAlTcO6
_chemical_formula_sum 'Mn2 Al2 Tc2 O12'
_space_group_name_H-M_alt 'P -3 1 c'
_space_group_IT_number 163
_space_group_name_Hall '-P 3 2c'
_cell_length_a 4.9735
_cell_length_b 4.9735
_cell_length_c 9.1979
_cell_angle_alpha 90.00
_cell_angle_beta 90.00
_cell_angle_gamma 120.00
loop_
_atom_site_label
_atom_site_fract_x
_atom_site_fract_y
_atom_site_fract_z
_atom_site_occupancy
Mn1 0.0000 0.0000 0.0000 1
Al1 0.3333 0.6667 0.2500 1
Tc1 0.3333 0.6667 0.7500 1
O1 0.0004 0.3599 0.1367 1
```

Values from the calculation:
* total DFT energy (no corrections): -7.48 eV/atom
* crystal system: trigonal

***

Below is MnAlTe2O8 after structural relaxation, with properties calculated at the GGA+U level.

Geometry as CIF:
```
data_MnAlTe2O8
_chemical_formula_sum 'Mn1 Al1 Te2 O8'
_space_group_name_H-M_alt 'P -3 m 1'
_space_group_IT_number 164
_space_group_name_Hall '-P 3 2"'
_cell_length_a 5.9896
_cell_length_b 5.9896
_cell_length_c 5.3162
_cell_angle_alpha 90.00
_cell_angle_beta 90.00
_cell_angle_gamma 120.00
loop_
_atom_site_label
_atom_site_fract_x
_atom_site_fract_y
_atom_site_fract_z
_atom_site_occupancy
Mn1 0.0000 0.0000 0.0000 1
Al1 0.0000 0.0000 0.5000 1
Te1 0.3333 0.6667 0.7785 1
O1 0.1373 0.2747 0.7407 1
O2 0.3333 0.6667 0.1179 1
```

Values from the calculation:
* total DFT energy (no corrections): -6.00 eV/atom
* crystal system: trigonal

***

Below is TiMnAl2O6 after structural relaxation, with properties calculated at the GGA+U level.

Geometry as CIF:
```
data_TiMnAl2O6
_chemical_formula_sum 'Ti3 Mn3 Al6 O18'
_space_group_name_H-M_alt 'R 3'
_space_group_IT_number 146
_space_group_name_Hall 'R 3'
_cell_length_a 5.0296
_cell_length_b 5.0296
_cell_length_c 13.4496
_cell_angle_alpha 90.00
_cell_angle_beta 90.00
_cell_angle_gamma 120.00
loop_
_atom_site_label
_atom_site_fract_x
_atom_site_fract_y
_atom_site_fract_z
_atom_site_occupancy
Ti1 0.0000 0.0000 0.0000 1
Mn1 0.0000 0.0000 0.5123 1
Al1 0.0000 0.0000 0.2925 1
Al2 0.0000 0.0000 0.7935 1
O1 0.0087 0.3614 0.0529 1
O2 0.0206 0.6150 0.5585 1
```

Values from the calculation:
* total DFT energy (no corrections): -7.97 eV/atom
* crystal system: trigonal

***

Below is TiMn2AlO6 after structural relaxation, with properties calculated at the GGA+U level.

Geometry as CIF:
```
data_TiMn2AlO6
_chemical_formula_sum 'Ti1 Mn2 Al1 O6'
_space_group_name_H-M_alt 'P 1'
_space_group_IT_number 1
_cell_length_a 4.963
_cell_length_b 4.980
_cell_length_c 5.365
_cell_angle_alpha 63.45
_cell_angle_beta 62.75
_cell_angle_gamma 60.23
loop_
_space_group_symop_operation_xyz
'x,y,z'
loop_
_atom_site_label
_atom_site_fract_x
_atom_site_fract_y
_atom_site_fract_z
_atom_site_occupancy
Ti1 0.000 0.000 0.000 1
Mn1 0.203 0.203 0.411 1
Mn2 0.714 0.716 0.885 1
Al1 0.508 0.513 0.489 1
O1 0.139 0.407 0.684 1
O2 0.291 0.911 0.201 1
O3 0.403 0.794 0.686 1
O4 0.615 0.294 0.201 1
O5 0.792 0.145 0.680 1
O6 0.908 0.616 0.203 1
```

Values from the calculation:
* total DFT energy (no corrections): -7.64 eV/atom
* crystal system: triclinic

***

Below is MnAlTlO2 after structural relaxation, with properties calculated at the GGA+U level.

Geometry as CIF:
```
data_MnAlTlO2
_chemical_formula_sum 'Mn1 Al1 Tl1 O2'
_space_group_name_H-M_alt 'P 4/m m m'
_space_group_IT_number 123
_space_group_name_Hall '-P 4 2'
_cell_length_a 3.875
_cell_length_b 3.875
_cell_length_c 5.705
_cell_angle_alpha 90.00
_cell_angle_beta 90.00
_cell_angle_gamma 90.00
loop_
_atom_site_label
_atom_site_fract_x
_atom_site_fract_y
_atom_site_fract_z
_atom_site_occupancy
Mn1 0.000 0.000 0.000 1
Al1 0.500 0.500 0.500 1
Tl1 0.000 0.000 0.500 1
O1 0.000 0.500 0.000 1
```

Values from the calculation:
* total DFT energy (no corrections): -4.95 eV/atom
* crystal system: tetragonal

***

Below is Tm2MnAlO6 after structural relaxation, with properties calculated at the GGA+U level.

Geometry as CIF:
```
data_Tm2MnAlO6
_chemical_formula_sum 'Tm2 Mn1 Al1 O6'
_space_group_name_H-M_alt 'P 4 m m'
_space_group_IT_number 99
_cell_length_a 5.066
_cell_length_b 5.066
_cell_length_c 4.708
_cell_angle_alpha 90.00
_cell_angle_beta 90.00
_cell_angle_gamma 90.00
loop_
_space_group_symop_operation_xyz
'x,y,z'
'-y,x,z'
'-x,-y,z'
'y,-x,z'
'-x,y,z'
'y,x,z'
'x,-y,z'
'-y,-x,z'
loop_
_atom_site_label
_atom_site_fract_x
_atom_site_fract_y
_atom_site_fract_z
_atom_site_occupancy
Tm1 0.000 0.500 0.000 1
Mn1 0.000 0.000 0.602 1
Al1 0.500 0.500 0.577 1
O1 0.000 0.000 0.165 1
O2 0.257 0.257 0.712 1
O3 0.500 0.500 0.198 1
```

Values from the calculation:
* total DFT energy (no corrections): -7.78 eV/atom
* crystal system: tetragonal

***

Below is UMnAlO6 after structural relaxation, with properties calculated at the GGA+U level.

Geometry as CIF:
```
data_UMnAlO6
_chemical_formula_sum 'U2 Mn2 Al2 O12'
_space_group_name_H-M_alt 'P -3 1 c'
_space_group_IT_number 163
_space_group_name_Hall '-P 3 2c'
_cell_length_a 5.2089
_cell_length_b 5.2089
_cell_length_c 8.9107
_cell_angle_alpha 90.00
_cell_angle_beta 90.00
_cell_angle_gamma 120.00
loop_
_atom_site_label
_atom_site_fract_x
_atom_site_fract_y
_atom_site_fract_z
_atom_site_occupancy
U1 0.3333 0.6667 0.2500 1
Mn1 0.0000 0.0000 0.0000 1
Al1 0.3333 0.6667 0.7500 1
O1 0.0223 0.3530 0.6326 1
```

Values from the calculation:
* total DFT energy (no corrections): -8.28 eV/atom
* crystal system: trigonal